1.
MgTlSe2: relaxed, GGA-PBE.

Cell lengths 5.1233, 5.1233, 5.1233 Å; angles 60.00, 60.00, 60.00 degrees
Positions (direct):
1 Se 0.2500 0.2500 0.2500
2 Tl 0.7500 0.7500 0.7500
3 Se 0.0000 0.0000 0.0000
4 Mg 0.5000 0.5000 0.5000

Output
Theoretical density = 6.75 g cm⁻³
Formation energy from raw total energies = -0.0248 eV per atom
Total moment = 0.00 μB per cell
Calculated total energy = -2.757 eV/atom
Space-group type = No. 216

***

2.
Mg3TlSe: relaxed, GGA-PBE.

Cell lengths 5.2822, 5.2822, 5.2822 Å; angles 90.00, 90.00, 90.00 degrees
Positions (direct):
1 Se 0.5000 0.5000 0.5000
2 Tl 0.0000 0.0000 0.0000
3 Mg 0.5000 0.0000 0.0000
4 Mg 0.0000 0.0000 0.5000
5 Mg 0.0000 0.5000 0.0000

Output
Theoretical density = 4.01 g cm⁻³
Formation energy from raw total energies = 0.1837 eV per atom
Total moment = 0.00 μB per cell
Calculated total energy = -1.943 eV/atom
Space-group type = No. 221
ΔE to the lowest computed polymorph = 0.251 eV per atom

***

3.
Mg2TlSe: relaxed, GGA-PBE.

Cell lengths 5.2611, 5.2611, 5.2611 Å; angles 60.00, 60.00, 60.00 degrees
Positions (direct):
1 Tl 0.7500 0.7500 0.7500
2 Mg 0.2500 0.2500 0.2500
3 Mg 0.0000 0.0000 0.0000
4 Se 0.5000 0.5000 0.5000

Output
Theoretical density = 5.35 g cm⁻³
Formation energy from raw total energies = -0.0333 eV per atom
Total moment = 0.00 μB per cell
Calculated total energy = -2.293 eV/atom
Space-group type = No. 216
ΔE to the lowest computed polymorph = 0.501 eV per atom

***

4.
Mg2TlSe: relaxed, GGA-PBE.

Cell lengths 6.4160, 6.4160, 6.4160 Å; angles 142.92, 142.92, 53.45 degrees
Positions (direct):
1 Mg 0.0000 0.0000 0.0000
2 Tl 0.7500 0.2500 0.5000
3 Se 0.5000 0.5000 0.0000
4 Mg 0.2500 0.7500 0.5000

Output
Theoretical density = 5.78 g cm⁻³
Formation energy from raw total energies = -0.3125 eV per atom
Total moment = 0.00 μB per cell
Calculated total energy = -2.573 eV/atom
Space-group type = No. 119
ΔE to the lowest computed polymorph = 0.222 eV per atom

***

5.
MgTl2Se: relaxed, GGA-PBE.

Cell lengths 5.2046, 5.2046, 4.1705 Å; angles 90.00, 90.00, 105.86 degrees
Positions (direct):
1 Tl 0.5000 0.5000 0.0000
2 Se 0.0000 0.5000 0.5000
3 Tl 0.0000 0.0000 0.0000
4 Mg 0.5000 0.0000 0.5000

Output
Theoretical density = 7.82 g cm⁻³
Formation energy from raw total energies = -0.1677 eV per atom
Total moment = 0.00 μB per cell
Calculated total energy = -2.621 eV/atom
Space-group type = No. 65

***

6.
MgTlSe: relaxed, GGA-PBE.

Cell lengths 4.8881, 4.8881, 4.8881 Å; angles 60.00, 60.00, 60.00 degrees
Positions (direct):
1 Tl 0.5000 0.5000 0.5000
2 Mg 0.7500 0.7500 0.7500
3 Se 0.0000 0.0000 0.0000

Output
Theoretical density = 6.19 g cm⁻³
Formation energy from raw total energies = -0.3033 eV per atom
Total moment = 0.00 μB per cell
Calculated total energy = -2.785 eV/atom
Space-group type = No. 216
ΔE to the lowest computed polymorph = 0.327 eV per atom

***

7.
MgTl2Se: relaxed, GGA-PBE.

Cell lengths 8.3232, 8.3232, 6.6971 Å; angles 51.58, 51.58, 90.00 degrees
Positions (direct):
1 Tl 0.3750 0.3691 0.7500
2 Tl 0.1191 0.6250 0.2500
3 Se 0.7500 0.2500 0.5000
4 Se 0.0000 0.0000 0.0000
5 Mg 0.2500 0.7500 0.5000
6 Tl 0.8750 0.8809 0.7500
7 Tl 0.6309 0.1250 0.2500
8 Mg 0.5000 0.5000 0.0000

Output
Theoretical density = 7.68 g cm⁻³
Formation energy from raw total energies = -0.1652 eV per atom
Total moment = 0.00 μB per cell
Calculated total energy = -2.618 eV/atom
Space-group type = No. 122

***

8.
MgTl5Se4: relaxed, GGA-PBE.

Cell lengths 4.1955, 8.2592, 9.7435 Å; angles 112.85, 102.43, 90.00 degrees
Positions (direct):
1 Tl 0.1872 0.3356 0.3744
2 Tl 0.8128 0.6644 0.6256
3 Se 0.9751 0.7648 0.9502
4 Se 0.3422 0.9408 0.6844
5 Se 0.6578 0.0592 0.3156
6 Tl 0.5000 0.5000 0.0000
7 Tl 0.8420 0.2009 0.6839
8 Mg 0.5000 0.0000 0.0000
9 Tl 0.1580 0.7991 0.3161
10 Se 0.0249 0.2352 0.0498

Output
Theoretical density = 7.48 g cm⁻³
Formation energy from raw total energies = -0.4714 eV per atom
Total moment = 0.00 μB per cell
Calculated total energy = -3.208 eV/atom
Space-group type = No. 12

***

9.
Mg2TlSe: relaxed, GGA-PBE.

Cell lengths 7.7363, 7.7363, 6.4201 Å; angles 52.95, 52.95, 90.00 degrees
Positions (direct):
1 Mg 0.3750 0.4170 0.7500
2 Se 0.2500 0.7500 0.5000
3 Mg 0.8750 0.8330 0.7500
4 Mg 0.5830 0.1250 0.2500
5 Tl 0.0000 0.0000 0.0000
6 Mg 0.1670 0.6250 0.2500
7 Se 0.5000 0.5000 0.0000
8 Tl 0.7500 0.2500 0.5000

Output
Theoretical density = 5.48 g cm⁻³
Formation energy from raw total energies = -0.3963 eV per atom
Total moment = 0.00 μB per cell
Calculated total energy = -2.656 eV/atom
Space-group type = No. 122
ΔE to the lowest computed polymorph = 0.138 eV per atom

***

10.
MgTlSe2: relaxed, GGA-PBE.

Cell lengths 3.7292, 3.8642, 7.6421 Å; angles 66.16, 90.00, 90.00 degrees
Positions (direct):
1 Se 0.0000 0.5698 0.5503
2 Mg 0.5000 0.7500 0.7500
3 Se 0.0000 0.9302 0.9497
4 Tl 0.5000 0.2500 0.2500

Output
Theoretical density = 6.37 g cm⁻³
Formation energy from raw total energies = -0.5218 eV per atom
Total moment = 0.00 μB per cell
Calculated total energy = -3.254 eV/atom
Space-group type = No. 10

***

11.
MgTl2Se: relaxed, GGA-PBE.

Cell lengths 5.9701, 5.9701, 5.9701 Å; angles 134.47, 134.47, 66.35 degrees
Positions (direct):
1 Se 0.7500 0.2500 0.5000
2 Mg 0.5000 0.5000 0.0000
3 Tl 0.2500 0.7500 0.5000
4 Tl 0.0000 0.0000 0.0000

Output
Theoretical density = 7.97 g cm⁻³
Formation energy from raw total energies = -0.1687 eV per atom
Total moment = 0.00 μB per cell
Calculated total energy = -2.622 eV/atom
Space-group type = No. 119

***

12.
Mg2Tl14Se9: relaxed, GGA-PBE.

Cell lengths 9.2918, 9.2918, 11.1795 Å; angles 90.00, 90.00, 120.00 degrees
Positions (direct):
1 Tl 0.3331 0.3411 0.9013
2 Se 0.1139 0.3760 0.3681
3 Tl 0.9060 0.5732 0.3675
4 Tl 0.5732 0.6672 0.6325
5 Se 0.3333 0.6667 0.0535
6 Mg 0.3333 0.6667 0.2864
7 Tl 0.0000 0.0000 0.2902
8 Se 0.7379 0.1139 0.6319
9 Se 0.3760 0.2621 0.6319
10 Se 0.6667 0.3333 0.9465
11 Tl 0.9920 0.3331 0.0987
12 Tl 0.0080 0.6669 0.9013
13 Se 0.0000 0.0000 0.0000
14 Tl 0.4268 0.3328 0.3675
15 Se 0.2621 0.8861 0.3681
16 Mg 0.6667 0.3333 0.7136
17 Tl 0.6589 0.9920 0.9013
18 Tl 0.6669 0.6589 0.0987
19 Se 0.6240 0.7379 0.3681
20 Se 0.8861 0.6240 0.6319
21 Tl 0.6672 0.0940 0.3675
22 Tl 0.3411 0.0080 0.0987
23 Tl 0.3328 0.9060 0.6325
24 Tl 0.0000 0.0000 0.7098
25 Tl 0.0940 0.4268 0.6325

Output
Theoretical density = 7.19 g cm⁻³
Formation energy from raw total energies = -0.4745 eV per atom
Total moment = 0.00 μB per cell
Calculated total energy = -3.182 eV/atom
Space-group type = No. 147

***

Copy entry 5 word for word.
MgTl2Se: relaxed, GGA-PBE.

Cell lengths 5.2046, 5.2046, 4.1705 Å; angles 90.00, 90.00, 105.86 degrees
Positions (direct):
1 Tl 0.5000 0.5000 0.0000
2 Se 0.0000 0.5000 0.5000
3 Tl 0.0000 0.0000 0.0000
4 Mg 0.5000 0.0000 0.5000

Output
Theoretical density = 7.82 g cm⁻³
Formation energy from raw total energies = -0.1677 eV per atom
Total moment = 0.00 μB per cell
Calculated total energy = -2.621 eV/atom
Space-group type = No. 65